Entry from Alexandria via LeMat-Bulk: a geometry-optimized Rb3SrBr6 structure (PBE).

abc: 8.831 8.831 8.832
angles: 60.00 60.00 90.00
Element x y z (fractional)
Br1 0.239 0.239 0.521
Br2 0.239 0.239 0.000
Br3 0.761 0.239 0.000
Br4 0.239 0.761 0.000
Br5 0.761 0.761 0.479
Br6 0.761 0.761 0.000
Sr1 0.000 0.000 0.000
Rb1 0.500 0.500 0.000
Rb2 0.750 0.250 0.500
Rb3 0.250 0.750 0.500

Computed properties:
formation energy from raw total energies	-1.51	eV/atom
symmetry	No. 225
total moment	1.00	Bohr magnetons per cell
total energy	-2.973	eV/atom
relative energy among the computed polymorphs	41	meV/atom
density of states at the Fermi level	17.68	states/eV/f.u.